# 1
This record from the Alexandria database describes Ce5Tl2Ru after structural relaxation. The functional is PBE-GGA.

Geometry as POSCAR:
```
Ce5Tl2Ru
1.0
-1.120 6.508 1.319
-1.094 1.139 -6.547
-3.411 -4.723 3.212
Ce Tl Ru
5 2 1
direct
0.714 0.714 0.967
0.714 0.253 0.967
0.253 0.714 0.967
0.253 0.253 0.967
0.779 0.778 0.557
0.729 0.229 0.458
0.229 0.729 0.458
0.105 0.106 0.211
```

Properties
The value obtained for the formation energy is -0.120 eV/atom. The value obtained for the total DFT energy (no corrections) is -44.64 eV for the cell shown. The energy above the lowest structure with this stoichiometry is 0 meV per atom.

# 2
This record from the Alexandria database describes Ce3Tl3Ru2 after structural relaxation. The functional is PBE-GGA.

Geometry as POSCAR:
```
Ce3Tl3Ru2
1.0
-0.722 -4.690 1.221
4.847 -0.461 1.097
-2.129 4.700 6.961
Ce Tl Ru
3 3 2
direct
0.176 0.580 0.352
0.824 0.420 0.648
0.000 0.000 0.000
0.630 0.044 0.260
0.500 0.500 0.000
0.370 0.956 0.740
0.211 0.140 0.423
0.789 0.860 0.577
```

Properties
The value obtained for the formation energy is -0.325 eV/atom. The value obtained for the total DFT energy (no corrections) is -46.05 eV for the cell shown.

# 3
This record from the Alexandria database describes Ce5Tl4Ru after structural relaxation. The functional is PBE-GGA.

Geometry as POSCAR:
```
Ce5Tl4Ru
1.0
-2.220 4.020 1.773
-7.099 0.642 -3.511
-4.209 -2.131 6.394
Ce Tl Ru
5 4 1
direct
0.810 0.383 0.000
0.192 0.000 0.617
0.810 0.000 0.383
0.192 0.617 0.000
0.501 0.000 0.000
0.501 0.327 0.673
0.828 0.673 0.673
0.174 0.327 0.327
0.501 0.673 0.327
0.001 0.000 0.000
```

Properties
The value obtained for the formation energy is -0.175 eV/atom. The value obtained for the total DFT energy (no corrections) is -50.16 eV for the cell shown.

# 4
This record from the Alexandria database describes Ce2TlRu after structural relaxation. The functional is PBE-GGA.

Geometry as POSCAR:
```
Ce2TlRu
1.0
-3.131 2.270 0.824
1.388 -2.515 2.717
6.598 5.154 1.395
Ce Tl Ru
2 1 1
direct
0.539 0.269 0.808
0.461 0.731 0.192
0.000 0.500 0.500
0.000 0.000 0.000
```

Properties
The value obtained for the formation energy is -0.248 eV/atom. The value obtained for the total DFT energy (no corrections) is -24.50 eV for the cell shown. The energy above the lowest structure with this stoichiometry is 64 meV per atom.

# 5
This record from the Alexandria database describes Ce8Tl2Ru3 after structural relaxation. The functional is PBE-GGA.

Geometry as POSCAR:
```
Ce8Tl2Ru3
1.0
-5.667 -0.668 1.951
-0.296 -6.140 -2.962
3.282 -0.455 8.477
Ce Tl Ru
8 2 3
direct
0.892 0.587 0.175
0.108 0.413 0.825
0.852 0.154 0.309
0.148 0.846 0.691
0.600 0.613 0.801
0.600 0.188 0.801
0.400 0.812 0.199
0.400 0.387 0.199
0.344 0.247 0.494
0.656 0.753 0.506
0.500 0.000 0.000
0.000 0.202 0.000
0.000 0.798 0.000
```

Properties
The value obtained for the formation energy is -0.093 eV/atom. The value obtained for the total DFT energy (no corrections) is -81.23 eV for the cell shown.

# 6
This record from the Alexandria database describes Ce6TlRu after structural relaxation. The functional is PBE-GGA.

Geometry as POSCAR:
```
Ce6TlRu
1.0
-3.147 3.720 -3.838
-3.858 -0.351 4.845
4.413 3.911 2.195
Ce Tl Ru
6 1 1
direct
0.186 0.186 0.596
0.587 0.175 0.193
0.814 0.814 0.404
0.825 0.413 0.807
0.413 0.825 0.807
0.175 0.587 0.193
0.000 0.000 0.000
0.500 0.500 0.500
```

Properties
The value obtained for the formation energy is -0.059 eV/atom. The value obtained for the total DFT energy (no corrections) is -47.72 eV for the cell shown.

# 7
This record from the Alexandria database describes Ce3TlRu after structural relaxation. The functional is PBE-GGA.

Geometry as POSCAR:
```
Ce3TlRu
1.0
-2.772 -4.561 -1.194
1.518 0.752 -6.395
5.688 -3.865 1.558
Ce Tl Ru
6 2 2
direct
0.475 0.315 0.777
0.476 0.886 0.132
0.975 0.449 0.475
0.975 0.587 0.870
0.976 0.015 0.515
0.475 0.453 0.172
0.476 0.770 0.619
0.976 0.131 0.028
0.976 0.724 0.212
0.476 0.178 0.435
```

Properties
The value obtained for the formation energy is -0.217 eV/atom. The value obtained for the total DFT energy (no corrections) is -61.06 eV for the cell shown. The energy above the lowest structure with this stoichiometry is 0 meV per atom.

# 8
This record from the Alexandria database describes Ce6TlRu5 after structural relaxation. The functional is PBE-GGA.

Geometry as POSCAR:
```
Ce6TlRu5
1.0
-2.171 5.190 -0.671
-0.269 0.166 -6.962
-4.728 -6.371 0.840
Ru Tl Ce
5 1 6
direct
0.588 0.574 0.293
0.418 0.018 0.656
0.000 0.500 0.000
0.582 0.982 0.344
0.412 0.426 0.707
0.000 0.000 0.000
0.829 0.636 0.654
0.864 0.188 0.595
0.484 0.260 0.044
0.516 0.740 0.956
0.136 0.812 0.405
0.171 0.364 0.346
```

Properties
The value obtained for the formation energy is -0.298 eV/atom. The value obtained for the total DFT energy (no corrections) is -87.93 eV for the cell shown.

What is the formation energy in the first record?
-0.120 eV/atom